# 1
The following is a PBE-GGA calculation of Ac8Pd5Rh after structural relaxation, from the Alexandria database.

V: 431.4 Å³ per cell
Final energy: -5.4144 eV/atom

Geometry as extended XYZ:
```
14
Lattice="-5.719 -1.111 5.834 4.968 -6.573 -0.313 4.403 6.732 1.810" Properties=species:S:1:pos:R:3 pbc="T T T"
Pd -0.658 2.810 3.822
Pd -3.302 -2.718 5.914
Pd -1.496 -1.229 2.165
Pd 0.412 -5.033 5.290
Pd 1.567 -0.767 5.317
Ac 1.598 0.633 2.007
Ac 7.291 1.583 2.288
Ac 5.144 -1.757 1.381
Ac 3.972 4.152 1.435
Ac -1.318 0.058 4.935
Ac 2.104 2.810 5.094
Ac 4.565 -0.430 4.907
Ac 1.373 -3.016 3.251
Rh 4.357 1.485 2.659
```

# 2
The following is a PBE-GGA calculation of K2CaHgIr after structural relaxation, from the Alexandria database.

V: 190.5 Å³ per cell
Final energy: -2.0795 eV/atom

Geometry as extended XYZ:
```
5
Lattice="-0.672 5.773 1.596 -3.283 0.730 -4.023 -4.651 -1.515 3.521" Properties=species:S:1:pos:R:3 pbc="T T T"
Hg 0.000 0.000 0.000
Ca -4.303 2.494 0.547
K -2.326 -0.757 1.760
K -0.336 2.886 0.798
Ir -1.641 0.365 -2.011
```

# 3
The following is a PBE-GGA calculation of NaLiGaGe after structural relaxation, from the Alexandria database.

V: 76.6 Å³ per cell
Final energy: -2.8036 eV/atom

Geometry as extended XYZ:
```
4
Lattice="-1.972 -4.133 1.325 2.581 -4.006 -0.081 1.319 -2.068 4.087" Properties=species:S:1:pos:R:3 pbc="T T T"
Na 1.446 -7.655 3.998
Li 0.000 0.000 0.000
Ge 0.482 -2.552 1.333
Ga 0.964 -5.104 2.666
```

# 4
The following is a PBE-GGA calculation of Dy2Y2Sc3 after structural relaxation, from the Alexandria database.

V: 406.3 Å³ per cell
Final energy: -5.6273 eV/atom

Geometry as extended XYZ:
```
14
Lattice="8.082 0.000 0.000 -2.694 7.619 0.000 -2.694 -3.810 6.599" Properties=species:S:1:pos:R:3 pbc="T T T"
Dy 1.257 3.810 0.000
Dy -2.215 2.582 4.473
Dy 0.479 4.360 3.299
Dy -2.215 -3.132 5.425
Y 6.095 3.810 0.000
Y 1.560 1.302 3.299
Y -1.134 -1.603 2.777
Y 4.254 0.302 0.522
Sc -1.070 6.471 1.311
Sc 4.318 -0.196 3.638
Sc 1.070 2.101 6.260
Sc -1.070 1.344 1.650
Sc 3.764 3.053 1.989
Sc 1.070 -1.344 4.949
```

# 5
The following is a PBE-GGA calculation of CuSbAu4 after structural relaxation, from the Alexandria database.

V: 120.2 Å³ per cell
Formation energy without anion corrections: 0.216 eV per atom

Geometry as extended XYZ:
```
6
Lattice="0.000 3.917 3.917 3.917 0.000 3.917 3.917 3.917 0.000" Properties=species:S:1:pos:R:3 pbc="T T T"
Sb 0.000 0.000 0.000
Au 4.893 2.941 4.893
Au 4.893 4.893 2.941
Au 2.941 4.893 4.893
Au 2.941 2.941 2.941
Cu 5.875 5.875 5.875
```

# 6
The following is a PBE-GGA calculation of Tb2PaSn after structural relaxation, from the Alexandria database.

V: 108.1 Å³ per cell
Final energy: -5.6762 eV/atom

Geometry as extended XYZ:
```
4
Lattice="-1.832 2.340 4.446 -5.231 -0.085 1.105 -1.832 -2.992 4.036" Properties=species:S:1:pos:R:3 pbc="T T T"
Sn 0.000 0.000 0.000
Tb -6.672 -0.554 7.190
Tb -2.224 -0.185 2.397
Pa -4.448 -0.369 4.793
```

# 7
The following is a PBE-GGA calculation of CsSb12Rh4 after structural relaxation, from the Alexandria database.

V: 425.6 Å³ per cell
Formation energy without anion corrections: -0.411 eV per atom

Geometry as extended XYZ:
```
17
Lattice="-6.204 -5.176 -1.445 6.933 -3.102 -3.111 0.861 1.046 8.095" Properties=species:S:1:pos:R:3 pbc="T T T"
Sb 1.843 -1.360 2.767
Sb 0.110 -4.055 4.323
Sb 1.707 -5.750 -2.199
Sb -3.386 -4.012 3.640
Sb 4.265 -1.999 4.315
Sb -0.253 -5.872 0.773
Sb 3.317 -4.503 1.966
Sb 4.976 -3.220 -0.100
Sb 1.481 -3.177 -0.784
Sb -1.726 -2.729 1.573
Sb -0.117 -1.482 5.739
Sb -2.675 -5.233 -0.776
Rh 0.431 0.523 4.047
Rh 3.466 -1.551 -1.555
Rh 0.795 -3.616 1.770
Rh -3.102 -2.588 -0.722
Cs 0.000 0.000 0.000
```

# 8
The following is a PBE-GGA calculation of Sm2ScCd after structural relaxation, from the Alexandria database.

V: 112.3 Å³ per cell
Final energy: -4.2656 eV/atom

Geometry as extended XYZ:
```
4
Lattice="-2.629 -1.513 -2.129 2.893 -4.676 -0.250 -2.584 -1.839 4.499" Properties=species:S:1:pos:R:3 pbc="T T T"
Sm -1.292 -0.919 2.249
Sm 1.446 -2.338 -0.125
Cd -1.315 -0.756 -1.064
Sc -1.160 -4.014 1.060
```